Record 1
# CaSiO3 PBE relaxed
# Energy relative to the elements, uncorrected (meV per atom): -2988
# Fermi-level density of states (states/eV/atom): 0.0000
# Total magnetization (μB per cell): 0.00
data_CaSiO3
_cell_length_a 7.221
_cell_length_b 5.989
_cell_length_c 12.967
_cell_angle_alpha 90.00
_cell_angle_beta 114.99
_cell_angle_gamma 90.00
_space_group_name_H-M_alt 'P 1 21/c 1'
_space_group_IT_number 14
loop_
_space_group_symop_operation_xyz
'x,y,z'
'-x,-y,-z'
'-x,y+1/2,-z+1/2'
'x,-y+1/2,z+1/2'
loop_
_atom_site_label
_atom_site_fract_x
_atom_site_fract_y
_atom_site_fract_z
_atom_site_occupancy
Ca1 0.214 0.107 0.126 1
Ca2 0.259 0.575 0.352 1
Si1 0.151 0.089 0.408 1
Si2 0.445 0.653 0.124 1
O1 0.013 0.628 0.852 1
O2 0.047 0.170 0.905 1
O3 0.304 0.110 0.338 1
O4 0.314 0.061 0.545 1
O5 0.388 0.621 0.549 1
O6 0.429 0.666 0.244 1

Record 2
# Ca3SiO PBE relaxed
# Energy relative to the elements, uncorrected (meV per atom): -1475
# Fermi-level density of states (states/eV/atom): 0.0364
# Total magnetization (μB per cell): 0.00
data_Ca3SiO
_cell_length_a 6.673
_cell_length_b 9.441
_cell_length_c 6.704
_cell_angle_alpha 90.00
_cell_angle_beta 90.00
_cell_angle_gamma 90.00
_space_group_name_H-M_alt 'I m m a'
_space_group_IT_number 74
_space_group_name_Hall '-I 2b 2'
loop_
_atom_site_label
_atom_site_fract_x
_atom_site_fract_y
_atom_site_fract_z
_atom_site_occupancy
Ca1 0.000 0.250 0.044 1
Ca2 0.250 0.023 0.750 1
Si1 0.000 0.250 0.501 1
O1 0.000 0.000 0.000 1

Record 3
# CaSiO3 PBE relaxed
# Energy relative to the elements, uncorrected (meV per atom): -3010
# Fermi-level density of states (states/eV/atom): 0.0000
# Total magnetization (μB per cell): 0.00
data_CaSiO3
_cell_length_a 6.911
_cell_length_b 11.993
_cell_length_c 19.781
_cell_angle_alpha 90.00
_cell_angle_beta 90.69
_cell_angle_gamma 90.00
_space_group_name_H-M_alt 'C 1 2/c 1'
_space_group_IT_number 15
loop_
_space_group_symop_operation_xyz
'x,y,z'
'-x,-y,-z'
'-x,y,-z+1/2'
'x,-y,z+1/2'
'x+1/2,y+1/2,z'
'-x+1/2,-y+1/2,-z'
'-x+1/2,y+1/2,-z+1/2'
'x+1/2,-y+1/2,z+1/2'
loop_
_atom_site_label
_atom_site_fract_x
_atom_site_fract_y
_atom_site_fract_z
_atom_site_occupancy
Ca1 0.000 0.000 0.000 1
Ca2 0.000 0.006 0.250 1
Ca3 0.000 0.328 0.250 1
Ca4 0.000 0.344 0.750 1
Ca5 0.014 0.336 0.500 1
Si1 0.093 0.170 0.628 1
Si2 0.202 0.203 0.122 1
Si3 0.207 0.461 0.125 1
O1 0.051 0.058 0.874 1
O2 0.056 0.282 0.875 1
O3 0.110 0.333 0.124 1
O4 0.146 0.150 0.194 1
O5 0.152 0.154 0.048 1
O6 0.155 0.488 0.697 1
O7 0.159 0.485 0.552 1
O8 0.192 0.172 0.702 1
O9 0.199 0.170 0.556 1

Record 4
# CaSiO3 PBE relaxed
# Energy relative to the elements, uncorrected (meV per atom): -2780
# Fermi-level density of states (states/eV/atom): 0.0000
# Total magnetization (μB per cell): 0.00
data_CaSiO3
_cell_length_a 3.574
_cell_length_b 3.574
_cell_length_c 3.574
_cell_angle_alpha 90.00
_cell_angle_beta 90.00
_cell_angle_gamma 90.00
_space_group_name_H-M_alt 'P m -3 m'
_space_group_IT_number 221
_space_group_name_Hall '-P 4 2 3'
loop_
_atom_site_label
_atom_site_fract_x
_atom_site_fract_y
_atom_site_fract_z
_atom_site_occupancy
Ca1 0.000 0.000 0.000 1
Si1 0.500 0.500 0.500 1
O1 0.000 0.500 0.500 1

Record 5
# Ca2SiO4 PBE relaxed
# Energy relative to the elements, uncorrected (meV per atom): -2939
# Fermi-level density of states (states/eV/atom): 0.0000
# Total magnetization (μB per cell): 0.00
data_Ca2SiO4
_cell_length_a 5.6266
_cell_length_b 5.6266
_cell_length_c 6.8324
_cell_angle_alpha 90.00
_cell_angle_beta 90.00
_cell_angle_gamma 120.00
_space_group_name_H-M_alt 'P -3 m 1'
_space_group_IT_number 164
_space_group_name_Hall '-P 3 2"'
loop_
_atom_site_label
_atom_site_fract_x
_atom_site_fract_y
_atom_site_fract_z
_atom_site_occupancy
Ca1 0.0000 0.0000 0.0000 1
Ca2 0.0000 0.0000 0.5000 1
Ca3 0.3333 0.6667 0.3422 1
Si1 0.3333 0.6667 0.8016 1
O1 0.1773 0.3547 0.7070 1
O2 0.3333 0.6667 0.0364 1

Record 6
# Ca2SiO4 PBE relaxed
# Energy relative to the elements, uncorrected (meV per atom): -2993
# Fermi-level density of states (states/eV/atom): 0.0000
# Total magnetization (μB per cell): 0.00
data_Ca2SiO4
_cell_length_a 5.427
_cell_length_b 5.679
_cell_length_c 6.461
_cell_angle_alpha 90.00
_cell_angle_beta 108.47
_cell_angle_gamma 90.00
_space_group_name_H-M_alt 'P 1 21/m 1'
_space_group_IT_number 11
loop_
_space_group_symop_operation_xyz
'x,y,z'
'-x,-y,-z'
'-x,y+1/2,-z'
'x,-y+1/2,z'
loop_
_atom_site_label
_atom_site_fract_x
_atom_site_fract_y
_atom_site_fract_z
_atom_site_occupancy
Ca1 0.181 0.250 0.030 1
Ca2 0.286 0.250 0.571 1
Si1 0.259 0.750 0.804 1
O1 0.056 0.524 0.748 1
O2 0.426 0.750 0.065 1
O3 0.456 0.750 0.656 1

Record 7
# Ca2SiO4 PBE relaxed
# Energy relative to the elements, uncorrected (meV per atom): -3043
# Fermi-level density of states (states/eV/atom): 0.0000
# Total magnetization (μB per cell): 0.00
data_Ca2SiO4
_cell_length_a 5.575
_cell_length_b 6.814
_cell_length_c 10.531
_cell_angle_alpha 90.00
_cell_angle_beta 117.41
_cell_angle_gamma 90.00
_space_group_name_H-M_alt 'P 1 21/c 1'
_space_group_IT_number 14
loop_
_space_group_symop_operation_xyz
'x,y,z'
'-x,-y,-z'
'-x,y+1/2,-z+1/2'
'x,-y+1/2,z+1/2'
loop_
_atom_site_label
_atom_site_fract_x
_atom_site_fract_y
_atom_site_fract_z
_atom_site_occupancy
Ca1 0.020 0.004 0.297 1
Ca2 0.296 0.659 0.569 1
Si1 0.350 0.219 0.581 1
O1 0.149 0.169 0.136 1
O2 0.275 0.513 0.055 1
O3 0.279 0.169 0.928 1
O4 0.328 0.749 0.804 1

Record 8
# Ca3SiO5 PBE relaxed
# Energy relative to the elements, uncorrected (meV per atom): -3002
# Fermi-level density of states (states/eV/atom): 0.0000
# Total magnetization (μB per cell): 0.00
data_Ca3SiO5
_cell_length_a 7.1798
_cell_length_b 7.1798
_cell_length_c 25.4469
_cell_angle_alpha 90.00
_cell_angle_beta 90.00
_cell_angle_gamma 120.00
_space_group_name_H-M_alt 'R 3 m'
_space_group_IT_number 160
_space_group_name_Hall 'R 3 -2"'
loop_
_atom_site_label
_atom_site_fract_x
_atom_site_fract_y
_atom_site_fract_z
_atom_site_occupancy
Ca1 0.0005 0.5003 0.0000 1
Ca2 0.0326 0.5163 0.2231 1
Ca3 0.1830 0.3660 0.1111 1
Si1 0.0000 0.0000 0.2155 1
Si2 0.0000 0.0000 0.7804 1
Si3 0.0000 0.0000 0.9945 1
O1 0.0000 0.0000 0.1497 1
O2 0.0000 0.0000 0.3861 1
O3 0.0000 0.0000 0.5016 1
O4 0.0000 0.0000 0.6156 1
O5 0.0000 0.0000 0.7160 1
O6 0.0000 0.0000 0.9289 1
O7 0.0829 0.5415 0.6833 1
O8 0.0851 0.5426 0.9050 1
O9 0.2078 0.4156 0.4675 1

Record 9
# CaSiO3 PBE relaxed
# Energy relative to the elements, uncorrected (meV per atom): -2786
# Fermi-level density of states (states/eV/atom): 0.0000
# Total magnetization (μB per cell): 0.00
data_CaSiO3
_cell_length_a 7.223
_cell_length_b 7.223
_cell_length_c 7.205
_cell_angle_alpha 90.00
_cell_angle_beta 90.00
_cell_angle_gamma 90.00
_space_group_name_H-M_alt 'I 4/m m m'
_space_group_IT_number 139
_space_group_name_Hall '-I 4 2'
loop_
_atom_site_label
_atom_site_fract_x
_atom_site_fract_y
_atom_site_fract_z
_atom_site_occupancy
Ca1 0.000 0.000 0.000 1
Ca2 0.000 0.000 0.500 1
Ca3 0.000 0.500 0.000 1
Si1 0.250 0.250 0.250 1
O1 0.000 0.250 0.239 1
O2 0.239 0.239 0.500 1

Record 10
# CaSiO3 PBE relaxed
# Energy relative to the elements, uncorrected (meV per atom): -2788
# Fermi-level density of states (states/eV/atom): 0.0000
# Total magnetization (μB per cell): 0.00
data_CaSiO3
_cell_length_a 5.081
_cell_length_b 5.081
_cell_length_c 7.278
_cell_angle_alpha 90.00
_cell_angle_beta 90.00
_cell_angle_gamma 90.00
_space_group_name_H-M_alt 'I 4/m c m'
_space_group_IT_number 140
_space_group_name_Hall '-I 4 2c'
loop_
_atom_site_label
_atom_site_fract_x
_atom_site_fract_y
_atom_site_fract_z
_atom_site_occupancy
Ca1 0.000 0.500 0.250 1
Si1 0.000 0.000 0.000 1
O1 0.000 0.000 0.250 1
O2 0.224 0.276 0.000 1

Record 11
# CaSiO3 PBE relaxed
# Energy relative to the elements, uncorrected (meV per atom): -3030
# Fermi-level density of states (states/eV/atom): 0.0000
# Total magnetization (μB per cell): 0.00
data_CaSiO3
_cell_length_a 7.151
_cell_length_b 7.392
_cell_length_c 8.020
_cell_angle_alpha 103.45
_cell_angle_beta 95.60
_cell_angle_gamma 90.08
_space_group_name_H-M_alt 'P -1'
_space_group_IT_number 2
loop_
_space_group_symop_operation_xyz
'x,y,z'
'-x,-y,-z'
loop_
_atom_site_label
_atom_site_fract_x
_atom_site_fract_y
_atom_site_fract_z
_atom_site_occupancy
Ca1 0.030 0.251 0.004 1
Ca2 0.260 0.923 0.698 1
Ca3 0.263 0.430 0.705 1
Si1 0.230 0.113 0.315 1
Si2 0.230 0.546 0.316 1
Si3 0.442 0.777 0.105 1
O1 0.034 0.564 0.199 1
O2 0.035 0.036 0.196 1
O3 0.232 0.128 0.518 1
O4 0.237 0.632 0.521 1
O5 0.271 0.320 0.279 1
O6 0.298 0.731 0.931 1
O7 0.331 0.226 0.899 1
O8 0.406 0.630 0.232 1
O9 0.407 0.989 0.230 1

Record 12
# Ca5Si6O18 PBE relaxed
# Energy relative to the elements, uncorrected (meV per atom): -2794
# Fermi-level density of states (states/eV/atom): 0.4842
# Total magnetization (μB per cell): 2.17
data_Ca5Si6O18
_cell_length_a 6.801
_cell_length_b 6.808
_cell_length_c 9.597
_cell_angle_alpha 97.63
_cell_angle_beta 94.42
_cell_angle_gamma 114.29
_space_group_name_H-M_alt 'P 1'
_space_group_IT_number 1
loop_
_space_group_symop_operation_xyz
'x,y,z'
loop_
_atom_site_label
_atom_site_fract_x
_atom_site_fract_y
_atom_site_fract_z
_atom_site_occupancy
Ca1 0.000 0.000 0.000 1
Ca2 0.007 0.684 0.633 1
Ca3 0.370 0.683 0.360 1
Ca4 0.504 0.189 0.641 1
Ca5 0.867 0.190 0.366 1
Si1 0.238 0.601 0.937 1
Si2 0.315 0.128 0.283 1
Si3 0.559 0.741 0.719 1
Si4 0.632 0.268 0.063 1
Si5 0.881 0.699 0.283 1
Si6 0.989 0.173 0.715 1
O1 0.079 0.903 0.225 1
O2 0.092 0.724 0.887 1
O3 0.116 0.329 0.874 1
O4 0.136 0.066 0.643 1
O5 0.243 0.313 0.352 1
O6 0.285 0.634 0.110 1
O7 0.390 0.172 0.124 1
O8 0.393 0.793 0.616 1
O9 0.469 0.687 0.870 1
O10 0.484 0.080 0.384 1
O11 0.582 0.233 0.891 1
O12 0.629 0.558 0.645 1
O13 0.740 0.809 0.361 1
O14 0.745 0.532 0.133 1
O15 0.782 0.150 0.113 1
O16 0.794 0.968 0.775 1
O17 0.889 0.293 0.616 1
O18 0.988 0.584 0.384 1

Record 13
# Ca3SiO5 PBE relaxed
# Energy relative to the elements, uncorrected (meV per atom): -2990
# Fermi-level density of states (states/eV/atom): 0.0000
# Total magnetization (μB per cell): 0.48
data_Ca3SiO5
_cell_length_a 7.0921
_cell_length_b 7.0921
_cell_length_c 25.7642
_cell_angle_alpha 90.00
_cell_angle_beta 90.00
_cell_angle_gamma 120.00
_space_group_name_H-M_alt 'R 3 m'
_space_group_IT_number 160
_space_group_name_Hall 'R 3 -2"'
loop_
_atom_site_label
_atom_site_fract_x
_atom_site_fract_y
_atom_site_fract_z
_atom_site_occupancy
Ca1 0.0154 0.5077 0.0000 1
Ca2 0.0166 0.5083 0.7673 1
Ca3 0.1750 0.3500 0.8797 1
Si1 0.0000 0.0000 0.5525 1
Si2 0.0000 0.0000 0.7645 1
Si3 0.0000 0.0000 0.9858 1
O1 0.0000 0.0000 0.1475 1
O2 0.0000 0.0000 0.2716 1
O3 0.0000 0.0000 0.3991 1
O4 0.0000 0.0000 0.6178 1
O5 0.0000 0.0000 0.8274 1
O6 0.0000 0.0000 0.9224 1
O7 0.0785 0.5392 0.6719 1
O8 0.0831 0.5416 0.4078 1
O9 0.2075 0.4151 0.1969 1

Record 14
# CaSi2O PBE relaxed
# Energy relative to the elements, uncorrected (meV per atom): -413
# Fermi-level density of states (states/eV/atom): 0.6378
# Total magnetization (μB per cell): 0.00
data_CaSi2O
_cell_length_a 4.752
_cell_length_b 4.752
_cell_length_c 13.640
_cell_angle_alpha 90.00
_cell_angle_beta 90.00
_cell_angle_gamma 90.00
_space_group_name_H-M_alt 'I -4 2 d'
_space_group_IT_number 122
_space_group_name_Hall 'I -4 2bw'
loop_
_atom_site_label
_atom_site_fract_x
_atom_site_fract_y
_atom_site_fract_z
_atom_site_occupancy
Ca1 0.000 0.000 0.000 1
Si1 0.010 0.250 0.625 1
O1 0.000 0.000 0.500 1